No. 1
{
  "formula": "LaPrBr4",
  "functional": "PBE",
  "state": "optimized geometry",
  "lattice": [[4.086, 0.000, 0.000], [0.000, 6.792, -1.890], [0.000, -0.184, 8.010]],
  "species": ["Br", "Br", "Br", "Br", "La", "Pr"],
  "fractional_positions": [[0.500, 0.751, 0.750], [0.500, 0.249, 0.250], [0.000, 0.754, 0.252], [0.000, 0.246, 0.748], [0.000, 0.500, 0.500], [0.500, 0.000, 0.500]],
  "final_energy_ev_per_atom": -4.437
}


No. 2
{
  "formula": "La2PrBr",
  "functional": "PBE",
  "state": "optimized geometry",
  "lattice": [[3.678, 0.000, 0.000], [0.000, 3.678, 0.000], [0.000, 0.000, 9.832]],
  "species": ["Br", "La", "La", "Pr"],
  "fractional_positions": [[0.500, 0.500, 0.000], [0.000, 0.000, 0.765], [0.000, 0.000, 0.235], [0.500, 0.500, 0.500]],
  "final_energy_ev_per_atom": -4.588
}


No. 3
{
  "formula": "LaPrBr",
  "functional": "PBE",
  "state": "optimized geometry",
  "lattice": [[-1.535, -0.646, 7.158], [-7.045, -1.313, -1.629], [1.422, -7.202, -0.345]],
  "species": ["Br", "Br", "Br", "Br", "Pr", "Pr", "Pr", "Pr", "La", "La", "La", "La"],
  "fractional_positions": [[0.501, 0.999, 0.001], [0.499, 0.499, 0.499], [0.001, 0.501, 0.999], [0.999, 0.001, 0.501], [0.139, 0.361, 0.639], [0.361, 0.639, 0.139], [0.861, 0.861, 0.861], [0.639, 0.139, 0.361], [0.862, 0.638, 0.362], [0.638, 0.362, 0.862], [0.362, 0.862, 0.638], [0.138, 0.138, 0.138]],
  "final_energy_ev_per_atom": -4.486
}


No. 4
{
  "formula": "La2PrBr4",
  "functional": "PBE",
  "state": "optimized geometry",
  "lattice": [[3.713, 0.000, 0.779], [1.674, 8.881, 1.263], [-0.929, -0.965, 13.663]],
  "species": ["La", "La", "La", "La", "Pr", "Pr", "Br", "Br", "Br", "Br", "Br", "Br", "Br", "Br"],
  "fractional_positions": [[0.586, 0.275, 0.552], [0.414, 0.725, 0.448], [0.181, 0.487, 0.152], [0.819, 0.513, 0.848], [0.189, 0.848, 0.774], [0.811, 0.152, 0.226], [0.968, 0.799, 0.264], [0.248, 0.096, 0.407], [0.613, 0.436, 0.338], [0.155, 0.713, 0.977], [0.387, 0.564, 0.662], [0.032, 0.201, 0.736], [0.752, 0.904, 0.593], [0.845, 0.287, 0.023]],
  "final_energy_ev_per_atom": -4.384
}


No. 5
{
  "formula": "LaPr2Br8",
  "functional": "PBE",
  "state": "optimized geometry",
  "lattice": [[-4.510, 2.433, -2.772], [-1.795, -7.768, -1.153], [-1.693, 2.312, 7.529]],
  "species": ["Br", "Br", "Br", "Br", "Br", "Br", "Br", "Br", "Pr", "Pr", "La"],
  "fractional_positions": [[0.919, 0.934, 0.679], [0.324, 0.635, 0.635], [0.676, 0.365, 0.365], [0.081, 0.066, 0.321], [0.500, 0.233, 0.767], [0.919, 0.679, 0.934], [0.500, 0.767, 0.233], [0.081, 0.321, 0.066], [0.000, 0.317, 0.683], [0.000, 0.683, 0.317], [0.500, 0.000, 0.000]],
  "final_energy_ev_per_atom": -4.253
}


No. 6
{
  "formula": "La2PrBr6",
  "functional": "PBE",
  "state": "optimized geometry",
  "lattice": [[7.650, 0.000, 0.000], [0.000, 7.650, 0.000], [0.000, 0.000, 11.475]],
  "species": ["La", "La", "La", "La", "Pr", "Pr", "Br", "Br", "Br", "Br", "Br", "Br", "Br", "Br", "Br", "Br", "Br", "Br"],
  "fractional_positions": [[0.500, 0.500, 0.175], [0.000, 0.000, 0.675], [0.500, 0.500, 0.825], [0.000, 0.000, 0.325], [0.000, 0.000, 0.000], [0.500, 0.500, 0.500], [0.220, 0.780, 0.836], [0.284, 0.284, 0.000], [0.780, 0.220, 0.836], [0.780, 0.220, 0.164], [0.720, 0.720, 0.336], [0.784, 0.216, 0.500], [0.280, 0.280, 0.336], [0.216, 0.784, 0.500], [0.220, 0.780, 0.164], [0.280, 0.280, 0.664], [0.720, 0.720, 0.664], [0.716, 0.716, 0.000]],
  "final_energy_ev_per_atom": -4.411
}


No. 7
{
  "formula": "LaPrBr",
  "functional": "PBE",
  "state": "optimized geometry",
  "lattice": [[-3.752, -0.894, 0.432], [2.425, -2.545, -1.645], [1.534, -3.060, 6.994]],
  "species": ["La", "Pr", "Br"],
  "fractional_positions": [[0.000, 0.000, 0.020], [0.333, 0.667, 0.643], [0.667, 0.333, 0.337]],
  "final_energy_ev_per_atom": -4.553
}


No. 8
{
  "formula": "LaPrBr4",
  "functional": "PBE",
  "state": "optimized geometry",
  "lattice": [[-2.667, -3.824, -3.701], [1.079, -4.443, 3.813], [-4.331, 5.153, 2.584]],
  "species": ["Br", "Br", "Br", "Br", "La", "Pr"],
  "fractional_positions": [[0.762, 0.762, 0.525], [0.238, 0.238, 0.475], [0.990, 0.490, 0.980], [0.510, 0.010, 0.020], [0.500, 0.500, 0.000], [0.250, 0.750, 0.500]],
  "final_energy_ev_per_atom": -4.404
}


No. 9
{
  "formula": "La2Pr3Br8",
  "functional": "PBE",
  "state": "optimized geometry",
  "lattice": [[-3.858, 3.257, -4.427], [0.304, -6.738, -5.221], [-5.337, -0.068, 6.745]],
  "species": ["Br", "Br", "Br", "Br", "Br", "Br", "Br", "Br", "Pr", "Pr", "Pr", "La", "La"],
  "fractional_positions": [[0.894, 0.609, 0.219], [0.878, 0.148, 0.297], [0.588, 0.156, 0.757], [0.412, 0.844, 0.243], [0.122, 0.852, 0.703], [0.588, 0.601, 0.757], [0.412, 0.399, 0.243], [0.106, 0.391, 0.781], [0.000, 0.789, 0.000], [0.500, 0.000, 0.000], [0.000, 0.211, 0.000], [0.325, 0.228, 0.455], [0.675, 0.772, 0.545]],
  "final_energy_ev_per_atom": -4.407
}


No. 10
{
  "formula": "La2PrBr6",
  "functional": "PBE",
  "state": "optimized geometry",
  "lattice": [[-3.189, -2.226, 1.489], [6.748, -4.407, 2.041], [-2.268, 8.044, 7.164]],
  "species": ["Br", "Br", "Br", "Br", "Br", "Br", "La", "La", "Pr"],
  "fractional_positions": [[0.992, 0.983, 0.214], [0.008, 0.017, 0.786], [0.355, 0.710, 0.465], [0.698, 0.397, 0.110], [0.302, 0.603, 0.890], [0.645, 0.290, 0.535], [0.648, 0.296, 0.805], [0.352, 0.704, 0.195], [0.000, 0.000, 0.500]],
  "final_energy_ev_per_atom": -4.473
}


No. 11
{
  "formula": "La2PrBr",
  "functional": "PBE",
  "state": "optimized geometry",
  "lattice": [[3.822, 0.000, 0.000], [1.911, 3.310, 0.000], [1.911, 1.103, 10.801]],
  "species": ["Br", "Pr", "La", "La"],
  "fractional_positions": [[0.666, 0.666, 0.001], [0.500, 0.500, 0.499], [0.074, 0.074, 0.777], [0.259, 0.259, 0.222]],
  "final_energy_ev_per_atom": -4.660
}


No. 12
{
  "formula": "LaPrPtBr",
  "functional": "PBE",
  "state": "optimized geometry",
  "lattice": [[-4.116, -0.841, 0.569], [2.610, 0.164, 3.336], [0.389, 8.299, -0.713]],
  "species": ["La", "Pt", "Br", "Pr"],
  "fractional_positions": [[0.505, 0.151, 0.671], [0.304, 0.550, 0.869], [0.965, 0.381, 0.361], [0.103, 0.950, 0.068]],
  "final_energy_ev_per_atom": -5.629
}


No. 13
{
  "formula": "LaPrRuBr",
  "functional": "PBE",
  "state": "optimized geometry",
  "lattice": [[4.117, -0.001, 0.000], [-2.058, 3.566, -0.001], [-2.057, -1.189, 8.025]],
  "species": ["Br", "Ru", "La", "Pr"],
  "fractional_positions": [[0.965, 0.381, 0.361], [0.300, 0.548, 0.864], [0.510, 0.153, 0.678], [0.103, 0.949, 0.067]],
  "final_energy_ev_per_atom": -5.975
}


No. 14
{
  "formula": "LaPrSBr",
  "functional": "PBE",
  "state": "optimized geometry",
  "lattice": [[-1.889, -1.175, -3.362], [4.018, -0.243, 0.246], [-0.693, -6.371, 5.030]],
  "species": ["Br", "La", "S", "Pr"],
  "fractional_positions": [[0.965, 0.381, 0.361], [0.500, 0.148, 0.663], [0.305, 0.550, 0.870], [0.108, 0.952, 0.076]],
  "final_energy_ev_per_atom": -5.527
}


No. 15
{
  "formula": "LaPrSbBr",
  "functional": "PBE",
  "state": "optimized geometry",
  "lattice": [[5.470, 0.000, 0.000], [2.735, 4.737, 0.000], [2.735, 1.579, 4.466]],
  "species": ["Pr", "Br", "Sb", "La"],
  "fractional_positions": [[0.500, 0.500, 0.500], [0.250, 0.250, 0.250], [0.750, 0.750, 0.750], [0.000, 0.000, 0.000]],
  "final_energy_ev_per_atom": -5.065
}


No. 16
{
  "formula": "LaPrSeBr",
  "functional": "PBE",
  "state": "optimized geometry",
  "lattice": [[5.260, 0.000, 0.000], [2.630, 4.556, 0.000], [2.630, 1.519, 4.295]],
  "species": ["Se", "Br", "Pr", "La"],
  "fractional_positions": [[0.750, 0.750, 0.750], [0.250, 0.250, 0.250], [0.000, 0.000, 0.000], [0.500, 0.500, 0.500]],
  "final_energy_ev_per_atom": -5.145
}


No. 17
{
  "formula": "LaPrTeBr",
  "functional": "PBE",
  "state": "optimized geometry",
  "lattice": [[5.441, 0.000, 0.000], [2.721, 4.712, 0.000], [2.721, 1.571, 4.443]],
  "species": ["La", "Te", "Br", "Pr"],
  "fractional_positions": [[0.750, 0.750, 0.750], [0.500, 0.500, 0.500], [0.000, 0.000, 0.000], [0.250, 0.250, 0.250]],
  "final_energy_ev_per_atom": -4.938
}


No. 18
{
  "formula": "LaPrTeBr2",
  "functional": "PBE",
  "state": "optimized geometry",
  "lattice": [[-3.800, -2.565, -0.677], [1.948, -1.895, -3.754], [3.823, -3.179, 6.449]],
  "species": ["La", "Pr", "Br", "Br", "Te"],
  "fractional_positions": [[0.885, 0.885, 0.770], [0.114, 0.114, 0.228], [0.249, 0.749, 0.498], [0.749, 0.249, 0.498], [0.503, 0.503, 0.005]],
  "final_energy_ev_per_atom": -4.531
}


No. 19
{
  "formula": "LaPrTe2Br",
  "functional": "PBE",
  "state": "optimized geometry",
  "lattice": [[4.564, 0.000, 0.000], [0.000, 4.564, 0.000], [0.000, 0.000, 15.354]],
  "species": ["Te", "Te", "Te", "Te", "Br", "Br", "Pr", "Pr", "La", "La"],
  "fractional_positions": [[0.000, 0.500, 0.699], [0.500, 0.000, 0.301], [0.500, 0.000, 0.875], [0.000, 0.500, 0.125], [0.500, 0.500, 0.500], [0.000, 0.000, 0.500], [0.000, 0.500, 0.359], [0.500, 0.000, 0.641], [0.500, 0.000, 0.090], [0.000, 0.500, 0.910]],
  "final_energy_ev_per_atom": -5.089
}


No. 20
{
  "formula": "LaPrTlBr",
  "functional": "PBE",
  "state": "optimized geometry",
  "lattice": [[-0.752, 0.916, -5.418], [2.061, -3.554, -3.725], [-3.417, -3.254, -2.914]],
  "species": ["Tl", "Br", "La", "Pr"],
  "fractional_positions": [[0.750, 0.750, 0.750], [0.250, 0.250, 0.250], [0.000, 0.000, 0.000], [0.500, 0.500, 0.500]],
  "final_energy_ev_per_atom": -4.104
}


Respective ΔE_f (raw) values: -1.704 -0.511 -0.692 -1.338 -1.719 -1.669 -0.760 -1.671 -1.516 -1.731 -0.584 -1.274 -0.811 -1.650 -1.190 -1.429 -1.307 -1.292 -1.557 -0.668 eV per atom.